Computed, not measured: a relaxed structure of ThAl4Sb at the PBE level of DFT.

Summary:
Crystal system: cubic
Raw total energy: -4.605 eV per atom
Formation energy (no corrections): -0.186 eV per atom

Lattice parameters (Å, degrees): 5.6281 5.6281 5.6281 60.00 60.00 60.00
Fractional positions:
Sb (0.0000, 0.0000, 0.0000)
Al (0.6249, 0.6249, 0.1252)
Al (0.6249, 0.1252, 0.6249)
Al (0.6249, 0.6249, 0.6249)
Al (0.1252, 0.6249, 0.6249)
Th (0.2500, 0.2500, 0.2500)



Computed, not measured: a relaxed structure of Th2AlSb at the PBE level of DFT.

Summary:
Crystal system: tetragonal
Raw total energy: -6.115 eV per atom
Polymorph energy (0 for the lowest one): 120 meV/atom
Formation energy (no corrections): -0.439 eV per atom

Lattice parameters (Å, degrees): 3.7097 3.7097 8.0253 90.00 90.00 90.00
Fractional positions:
Sb (0.5000, 0.5000, 0.0000)
Al (0.5000, 0.5000, 0.5000)
Th (0.0000, 0.0000, 0.7526)
Th (0.0000, 0.0000, 0.2474)



Computed, not measured: a relaxed structure of Th2AlSb at the PBE level of DFT.

Summary:
Crystal system: trigonal
Raw total energy: -6.105 eV per atom
Polymorph energy (0 for the lowest one): 130 meV/atom
Formation energy (no corrections): -0.429 eV per atom

Lattice parameters (Å, degrees): 4.4001 4.4001 7.8562 73.74 73.74 60.00
Fractional positions:
Sb (0.5000, 0.5000, 0.5000)
Al (0.0000, 0.0000, 0.0000)
Th (0.2538, 0.2538, 0.2386)
Th (0.7462, 0.7462, 0.7614)



Computed, not measured: a relaxed structure of ThAl2Sb at the PBE level of DFT.

Summary:
Crystal system: tetragonal
Raw total energy: -5.131 eV per atom
Formation energy (no corrections): -0.374 eV per atom

Lattice parameters (Å, degrees): 4.6180 4.5116 4.5116 90.00 90.00 90.00
Fractional positions:
Sb (0.5000, 0.5000, 0.5000)
Al (0.0000, 0.0000, 0.5000)
Al (0.0000, 0.5000, 0.0000)
Th (0.5000, 0.0000, 0.0000)



Computed, not measured: a relaxed structure of ThAlSb at the PBE level of DFT.

Summary:
Crystal system: trigonal
Raw total energy: -5.432 eV per atom
Formation energy (no corrections): -0.337 eV per atom

Lattice parameters (Å, degrees): 5.0243 5.0243 8.6318 73.08 73.08 60.00
Fractional positions:
Th (0.5753, 0.5753, 0.2740)
Th (0.4247, 0.4247, 0.7260)
Sb (0.2859, 0.2859, 0.1423)
Sb (0.7141, 0.7141, 0.8577)
Al (0.8329, 0.8329, 0.5013)
Al (0.1671, 0.1671, 0.4987)



Computed, not measured: a relaxed structure of Th2AlSb at the PBE level of DFT.

Summary:
Crystal system: monoclinic
Raw total energy: -6.234 eV per atom
Polymorph energy (0 for the lowest one): 0 meV/atom
Formation energy (no corrections): -0.558 eV per atom

Lattice parameters (Å, degrees): 4.4138 6.1945 8.8790 111.20 90.00 90.00
Fractional positions:
Th (0.7500, 0.2112, 0.4332)
Th (0.2500, 0.7888, 0.5668)
Th (0.2500, 0.7787, 0.0762)
Th (0.7500, 0.2213, 0.9238)
Al (0.7500, 0.6714, 0.2926)
Al (0.2500, 0.3286, 0.7074)
Sb (0.2500, 0.3389, 0.2092)
Sb (0.7500, 0.6611, 0.7908)



Q: Among the records above, which one has the highest raw total energy?
A: ThAl4Sb



Q: formation energy (no corrections) of number 5 (ThAlSb)?
A: -0.337 eV per atom



Q: Which value of raw total energy does entry 6 give?
A: -6.234 eV per atom